A geometry-optimized BeSnP2 structure. Source: Alexandria via LeMat-Bulk, functional GGA-PBE.

```
8
Lattice="-2.714 2.714 5.460 2.714 -2.714 5.460 2.714 2.714 -5.460" Properties=species:S:1:pos:R:3 pbc="T T T"
Be 0.000 0.000 0.000
Be 0.000 2.714 2.730
Sn 2.714 0.000 2.730
Sn 0.000 0.000 5.460
P 4.070 1.060 -1.365
P 1.060 1.357 1.365
P -1.357 1.654 4.095
P 1.654 1.357 6.826
```

Values from the calculation:
As for the symmetry: No. 122. For the total magnetic moment, the calculation gives 0.0 μB per formula unit. The calculation puts the excess energy over the best structure of this formula in the dataset at 0 meV/atom. The density of states at the Fermi level is 0.0 states/eV/cell.


A geometry-optimized DyMg2Si2Ir structure. Source: Alexandria via LeMat-Bulk, functional GGA-PBE.

```
6
Lattice="-2.534 2.534 5.214 2.534 -2.534 5.214 2.534 2.534 -5.214" Properties=species:S:1:pos:R:3 pbc="T T T"
Dy 0.000 0.000 0.000
Mg 2.534 0.000 2.607
Mg 0.000 2.534 2.607
Si 0.000 0.000 2.955
Si 0.000 0.000 7.473
Ir 0.000 0.000 5.214
```

Values from the calculation:
As for the symmetry: No. 139. For the total magnetic moment, the calculation gives 0.0 μB per formula unit. For the formation energy (no corrections), the calculation gives 0.1299 eV per atom. The density of states at the Fermi level is 4.1 states/eV/cell.


A geometry-optimized Sc2FePb structure. Source: Alexandria via LeMat-Bulk, functional GGA-PBE.

```
4
Lattice="0.000 3.333 3.333 3.333 0.000 3.333 3.333 3.333 0.000" Properties=species:S:1:pos:R:3 pbc="T T T"
Sc 0.000 0.000 0.000
Sc 1.666 1.666 1.666
Fe 3.333 3.333 3.333
Pb 4.999 4.999 4.999
```

Values from the calculation:
As for the symmetry: No. 216. For the total magnetic moment, the calculation gives 0.0 μB per formula unit. The uncorrected energy is -24.74 eV/cell.


A geometry-optimized La2PrHoSc structure. Source: Alexandria via LeMat-Bulk, functional GGA-PBE.

```
10
Lattice="4.156 -5.798 0.000 4.156 5.798 0.000 0.000 0.000 7.307" Properties=species:S:1:pos:R:3 pbc="T T T"
La 1.657 0.000 0.000
La 1.657 0.000 3.654
La 6.655 0.000 0.000
La 6.655 0.000 3.654
Pr 4.156 3.122 5.480
Pr 4.156 -3.122 1.827
Ho 4.156 2.947 1.827
Ho 4.156 -2.947 5.480
Sc 4.156 0.122 5.480
Sc 4.156 -0.122 1.827
```

Values from the calculation:
As for the symmetry: No. 63. For the total magnetic moment, the calculation gives 0.0 μB per formula unit. The uncorrected energy is -47.62 eV/cell. The density of states at the Fermi level is 14.7 states/eV/cell.


A geometry-optimized YMg2Cr structure. Source: Alexandria via LeMat-Bulk, functional GGA-PBE.

```
4
Lattice="3.034 -5.306 0.000 3.034 5.306 0.000 -1.118 0.000 2.922" Properties=species:S:1:pos:R:3 pbc="T T T"
Y 0.000 0.000 0.000
Mg 0.958 2.653 1.461
Mg 0.958 -2.653 1.461
Cr 3.034 0.000 0.000
```

Values from the calculation:
As for the symmetry: No. 12. For the total magnetic moment, the calculation gives 3.8 μB per formula unit. The uncorrected energy is -17.85 eV/cell. The density of states at the Fermi level is 3.5 states/eV/cell.


A geometry-optimized Cs3NaV2Cl9 structure. Source: Alexandria via LeMat-Bulk, functional GGA-PBE.

```
15
Lattice="7.305 0.000 0.000 -3.652 6.326 0.000 0.000 0.000 9.024" Properties=species:S:1:pos:R:3 pbc="T T T"
Cs 0.000 0.000 0.000
Cs 0.000 4.218 5.963
Cs 3.652 2.109 3.061
Na 0.000 0.000 4.512
V 0.000 4.218 1.450
V 3.652 2.109 7.574
Cl -1.826 3.163 0.000
Cl 0.000 2.250 2.821
Cl -1.704 5.201 2.821
Cl 1.948 1.125 6.202
Cl 3.652 0.000 0.000
Cl 1.826 3.163 0.000
Cl 1.704 5.201 2.821
Cl 5.356 1.125 6.202
Cl 3.652 4.076 6.202
```

Values from the calculation:
As for the symmetry: No. 164. For the total magnetic moment, the calculation gives 5.0 μB per formula unit. For the formation energy (no corrections), the calculation gives -1.6197 eV per atom. The density of states at the Fermi level is 13.8 states/eV/cell.


A geometry-optimized SrBiRu2 structure. Source: Alexandria via LeMat-Bulk, functional GGA-PBE.

```
8
Lattice="-3.886 3.886 3.212 3.886 -3.886 3.212 3.886 3.886 -3.212" Properties=species:S:1:pos:R:3 pbc="T T T"
Sr 0.000 0.000 0.000
Sr 0.000 3.886 1.606
Bi 3.886 0.000 1.606
Bi 0.000 0.000 3.212
Ru 1.943 -1.534 2.409
Ru 2.352 1.943 0.803
Ru 1.943 5.420 -0.803
Ru 1.534 1.943 4.015
```

Values from the calculation:
As for the symmetry: No. 122. For the total magnetic moment, the calculation gives 0.0 μB per formula unit. The uncorrected energy is -41.86 eV/cell. The density of states at the Fermi level is 8.0 states/eV/cell.


A geometry-optimized Ti5Mn2Al2Cu structure. Source: Alexandria via LeMat-Bulk, functional GGA-PBE.

```
20
Lattice="10.136 0.000 0.000 0.000 10.136 0.000 0.000 0.000 3.031" Properties=species:S:1:pos:R:3 pbc="T T T"
Ti 0.000 5.068 0.000
Ti 0.732 2.035 0.000
Ti 2.035 9.404 0.000
Ti 3.033 4.336 0.000
Ti 4.336 7.103 0.000
Ti 5.068 0.000 0.000
Ti 5.800 3.033 0.000
Ti 7.103 5.800 0.000
Ti 8.101 0.732 0.000
Ti 9.404 8.101 0.000
Mn 1.352 3.716 1.515
Mn 3.716 8.784 1.515
Mn 6.420 1.352 1.515
Mn 8.784 6.420 1.515
Al 1.752 6.820 1.515
Al 3.317 1.752 1.515
Al 6.820 8.385 1.515
Al 8.385 3.317 1.515
Cu 0.000 0.000 1.515
Cu 5.068 5.068 1.515
```

Values from the calculation:
As for the symmetry: No. 127. For the total magnetic moment, the calculation gives 0.0 μB per formula unit. The uncorrected energy is -141.21 eV/cell. The density of states at the Fermi level is 24.4 states/eV/cell.


A geometry-optimized LaMg2PdN structure. Source: Alexandria via LeMat-Bulk, functional GGA-PBE.

```
5
Lattice="4.225 0.000 0.000 0.000 4.225 0.000 0.000 0.000 5.240" Properties=species:S:1:pos:R:3 pbc="T T T"
La 0.000 0.000 0.000
Mg 0.000 2.112 2.620
Mg 2.112 0.000 2.620
Pd 2.112 2.112 0.000
N 0.000 0.000 2.620
```

Values from the calculation:
As for the symmetry: No. 123. For the total magnetic moment, the calculation gives 0.0 μB per formula unit. For the formation energy (no corrections), the calculation gives -0.6595 eV per atom. The density of states at the Fermi level is 3.3 states/eV/cell.


A geometry-optimized Be2SnPd2 structure. Source: Alexandria via LeMat-Bulk, functional GGA-PBE.

```
10
Lattice="6.960 0.000 0.000 0.000 6.960 0.000 0.000 0.000 2.954" Properties=species:S:1:pos:R:3 pbc="T T T"
Be 0.948 2.532 0.000
Be 2.532 6.012 0.000
Be 4.428 0.948 0.000
Be 6.012 4.428 0.000
Sn 0.000 0.000 1.477
Sn 3.480 3.480 1.477
Pd 1.016 4.496 1.477
Pd 2.464 1.016 1.477
Pd 4.496 5.944 1.477
Pd 5.944 2.464 1.477
```

Values from the calculation:
As for the symmetry: No. 127. For the total magnetic moment, the calculation gives 0.0 μB per formula unit. The calculation puts the excess energy over the best structure of this formula in the dataset at 70 meV/atom. The density of states at the Fermi level is 2.1 states/eV/cell.


A geometry-optimized Th2BiH3 structure. Source: Alexandria via LeMat-Bulk, functional GGA-PBE.

```
12
Lattice="7.717 -2.003 0.000 7.717 2.003 0.000 -2.966 0.000 6.962" Properties=species:S:1:pos:R:3 pbc="T T T"
Th -0.434 0.000 1.846
Th 3.738 0.000 2.164
Th 8.729 0.000 4.798
Th 12.901 0.000 5.116
Bi 2.855 0.000 6.597
Bi 9.611 0.000 0.364
H -0.276 0.000 4.472
H 1.543 0.000 3.325
H 4.702 0.000 4.153
H 7.764 0.000 2.808
H 10.924 0.000 3.636
H 12.742 0.000 2.490
```

Values from the calculation:
As for the symmetry: No. 12. For the total magnetic moment, the calculation gives 0.0 μB per formula unit. The uncorrected energy is -63.39 eV/cell. The density of states at the Fermi level is 5.2 states/eV/cell.


A geometry-optimized NpUFe4 structure. Source: Alexandria via LeMat-Bulk, functional GGA-PBE.

```
6
Lattice="0.000 3.487 3.487 3.487 0.000 3.487 3.487 3.487 0.000" Properties=species:S:1:pos:R:3 pbc="T T T"
Np 0.000 0.000 0.000
U 1.744 1.744 1.744
Fe 4.361 2.613 2.613
Fe 2.613 4.361 2.613
Fe 2.613 2.613 4.361
Fe 4.361 4.361 4.361
```

Values from the calculation:
As for the symmetry: No. 216. For the total magnetic moment, the calculation gives 0.4 μB per formula unit. The uncorrected energy is -58.47 eV/cell. The density of states at the Fermi level is 9.9 states/eV/cell.